No. 1
DFT (PBE) results for a relaxed TeOs2Pb crystal.

Geometry as CIF:
```
data_TeOs2Pb
_cell_length_a 3.188
_cell_length_b 4.518
_cell_length_c 5.459
_cell_angle_alpha 90.00
_cell_angle_beta 90.00
_cell_angle_gamma 90.00
_symmetry_space_group_name_H-M 'P 1'
_symmetry_Int_Tables_number 1
_symmetry_space_group_name_Hall 'P 1'
loop_
_atom_site_label
_atom_site_fract_x
_atom_site_fract_y
_atom_site_fract_z
_atom_site_occupancy
Te1 0.000 0.000 0.000 1
Os1 0.000 0.500 0.500 1
Os2 0.500 0.500 0.000 1
Pb1 0.500 0.000 0.500 1
```

Summary:
Magnetization   0.000 μB per atom
DOS(E_F)   5.2 states/eV/f.u.
Energy   -24.14 eV per cell
E_form (uncorrected)   1291 meV per atom
Polymorph energy (0 for the lowest one)   810 meV per atom

No. 2
DFT (PBE) results for a relaxed MnCdBr4 crystal.

Geometry as CIF:
```
data_MnCdBr4
_cell_length_a 6.386
_cell_length_b 6.386
_cell_length_c 6.386
_cell_angle_alpha 60.00
_cell_angle_beta 60.00
_cell_angle_gamma 60.00
_symmetry_space_group_name_H-M 'P 1'
_symmetry_Int_Tables_number 1
_symmetry_space_group_name_Hall 'P 1'
loop_
_atom_site_label
_atom_site_fract_x
_atom_site_fract_y
_atom_site_fract_z
_atom_site_occupancy
Mn1 0.000 0.000 0.000 1
Cd1 0.250 0.250 0.250 1
Br1 0.126 0.625 0.625 1
Br2 0.625 0.126 0.625 1
Br3 0.625 0.625 0.126 1
Br4 0.625 0.625 0.625 1
```

Summary:
Magnetization   1.156 μB per atom
DOS(E_F)   9.6 states/eV/f.u.
Energy   -12.91 eV per cell
E_form (uncorrected)   644 meV per atom
Polymorph energy (0 for the lowest one)   1462 meV per atom

No. 3
DFT (PBE) results for a relaxed Cu2AsCl crystal.

Geometry as CIF:
```
data_Cu2AsCl
_cell_length_a 5.702
_cell_length_b 5.702
_cell_length_c 5.702
_cell_angle_alpha 148.32
_cell_angle_beta 99.44
_cell_angle_gamma 89.13
_symmetry_space_group_name_H-M 'P 1'
_symmetry_Int_Tables_number 1
_symmetry_space_group_name_Hall 'P 1'
loop_
_atom_site_label
_atom_site_fract_x
_atom_site_fract_y
_atom_site_fract_z
_atom_site_occupancy
Cu1 0.247 0.000 0.247 1
Cu2 0.753 0.000 0.753 1
As1 0.000 0.500 0.500 1
Cl1 0.500 0.500 0.000 1
```

Summary:
Magnetization   0.000 μB per atom
DOS(E_F)   2.0 states/eV/f.u.
Energy   -14.10 eV per cell
E_form (uncorrected)   147 meV per atom
Polymorph energy (0 for the lowest one)   229 meV per atom

No. 4
DFT (PBE) results for a relaxed Zn2TeOs crystal.

Geometry as CIF:
```
data_Zn2TeOs
_cell_length_a 4.120
_cell_length_b 4.120
_cell_length_c 4.008
_cell_angle_alpha 90.00
_cell_angle_beta 90.00
_cell_angle_gamma 90.00
_symmetry_space_group_name_H-M 'P 1'
_symmetry_Int_Tables_number 1
_symmetry_space_group_name_Hall 'P 1'
loop_
_atom_site_label
_atom_site_fract_x
_atom_site_fract_y
_atom_site_fract_z
_atom_site_occupancy
Zn1 0.000 0.500 0.000 1
Zn2 0.500 0.000 0.000 1
Te1 0.000 0.000 0.500 1
Os1 0.500 0.500 0.500 1
```

Summary:
Magnetization   0.000 μB per atom
DOS(E_F)   2.6 states/eV/f.u.
Energy   -14.65 eV per cell
E_form (uncorrected)   568 meV per atom

> Which of these has the highest energy?

MnCdBr4

> Which of these has the highest E_form (uncorrected)?

TeOs2Pb

> Which value of magnetization does entry 2 give?

1.156 μB per atom